Record 1
Below is a geometry-optimized CaMnCu structure, with properties calculated at the PBE level.

CIF file:
```
data_CaMnCu
_cell_length_a 4.7384
_cell_length_b 4.7384
_cell_length_c 4.7384
_cell_angle_alpha 60.00
_cell_angle_beta 60.00
_cell_angle_gamma 60.00
_space_group_name_H-M_alt 'P 1'
_space_group_IT_number 1
loop_
_space_group_symop_operation_xyz
'x,y,z'
loop_
_atom_site_label
_atom_site_type_symbol
_atom_site_fract_x
_atom_site_fract_y
_atom_site_fract_z
_atom_site_occupancy
Ca1 Ca 0.0000 0.0000 0.0000 1
Mn1 Mn 0.2500 0.2500 0.2500 1
Cu1 Cu 0.7500 0.7500 0.7500 1
```

calculated total energy = -12.38 eV/cell
DFT formation energy = 92.86 kJ/mol of atoms
spin magnetization = 4.37 μB/f.u.

---

Record 2
Below is a geometry-optimized CuAs5 structure, with properties calculated at the PBE level.

CIF file:
```
data_CuAs5
_cell_length_a 5.5031
_cell_length_b 5.5031
_cell_length_c 5.5031
_cell_angle_alpha 60.00
_cell_angle_beta 60.00
_cell_angle_gamma 60.00
_space_group_name_H-M_alt 'P 1'
_space_group_IT_number 1
loop_
_space_group_symop_operation_xyz
'x,y,z'
loop_
_atom_site_label
_atom_site_type_symbol
_atom_site_fract_x
_atom_site_fract_y
_atom_site_fract_z
_atom_site_occupancy
Cu1 Cu 0.0000 0.0000 0.0000 1
As1 As 0.3743 0.3743 0.3743 1
As2 As 0.3743 0.3743 0.8770 1
As3 As 0.3743 0.8770 0.3743 1
As4 As 0.7500 0.7500 0.7500 1
As5 As 0.8770 0.3743 0.3743 1
```

calculated total energy = -23.40 eV/cell
DFT formation energy = 63.35 kJ/mol of atoms
spin magnetization = 0.00 μB/f.u.

---

Record 3
Below is a geometry-optimized SiSbRh3 structure, with properties calculated at the PBE level.

CIF file:
```
data_SiSbRh3
_cell_length_a 4.8215
_cell_length_b 4.8215
_cell_length_c 4.8215
_cell_angle_alpha 90.00
_cell_angle_beta 90.00
_cell_angle_gamma 90.00
_space_group_name_H-M_alt 'P 1'
_space_group_IT_number 1
loop_
_space_group_symop_operation_xyz
'x,y,z'
loop_
_atom_site_label
_atom_site_type_symbol
_atom_site_fract_x
_atom_site_fract_y
_atom_site_fract_z
_atom_site_occupancy
Si1 Si 0.0000 0.0000 0.0000 1
Sb1 Sb 0.5000 0.5000 0.5000 1
Rh1 Rh 0.0000 0.5000 0.5000 1
Rh2 Rh 0.5000 0.0000 0.5000 1
Rh3 Rh 0.5000 0.5000 0.0000 1
```

calculated total energy = -26.03 eV/cell
E_form (uncorrected) = 1.11 eV per atom
spin magnetization = 0.00 μB/f.u.

---

Record 4
Below is a geometry-optimized LiY6Cd structure, with properties calculated at the PBE level.

CIF file:
```
data_LiY6Cd
_cell_length_a 6.1802
_cell_length_b 6.1802
_cell_length_c 6.1802
_cell_angle_alpha 92.37
_cell_angle_beta 92.37
_cell_angle_gamma 92.37
_space_group_name_H-M_alt 'P 1'
_space_group_IT_number 1
loop_
_space_group_symop_operation_xyz
'x,y,z'
loop_
_atom_site_label
_atom_site_type_symbol
_atom_site_fract_x
_atom_site_fract_y
_atom_site_fract_z
_atom_site_occupancy
Li1 Li 0.0000 0.0000 0.0000 1
Y1 Y 0.0249 0.7495 0.5295 1
Y2 Y 0.2505 0.4705 0.9751 1
Y3 Y 0.4705 0.9751 0.2505 1
Y4 Y 0.5295 0.0249 0.7495 1
Y5 Y 0.7495 0.5295 0.0249 1
Y6 Y 0.9751 0.2505 0.4705 1
Cd1 Cd 0.5000 0.5000 0.5000 1
```

calculated total energy = -41.08 eV/cell
DFT formation energy = 6.42 kJ/mol of atoms
spin magnetization = 0.00 μB/f.u.

---

Record 5
Below is a geometry-optimized TaCdAs structure, with properties calculated at the PBE level.

CIF file:
```
data_TaCdAs
_cell_length_a 5.7332
_cell_length_b 5.7332
_cell_length_c 5.7332
_cell_angle_alpha 146.03
_cell_angle_beta 146.03
_cell_angle_gamma 48.80
_space_group_name_H-M_alt 'P 1'
_space_group_IT_number 1
loop_
_space_group_symop_operation_xyz
'x,y,z'
loop_
_atom_site_label
_atom_site_type_symbol
_atom_site_fract_x
_atom_site_fract_y
_atom_site_fract_z
_atom_site_occupancy
Ta1 Ta 0.0000 0.0000 0.0000 1
Cd1 Cd 0.3054 0.3054 0.0000 1
As1 As 0.6066 0.6066 0.0000 1
```

calculated total energy = -17.29 eV/cell
DFT formation energy = 4.11 kJ/mol of atoms
spin magnetization = 0.00 μB/f.u.

---

Record 6
Below is a geometry-optimized AlTeSe2 structure, with properties calculated at the PBE level.

CIF file:
```
data_AlTeSe2
_cell_length_a 4.1625
_cell_length_b 4.1625
_cell_length_c 9.0658
_cell_angle_alpha 90.00
_cell_angle_beta 90.00
_cell_angle_gamma 128.14
_space_group_name_H-M_alt 'P 1'
_space_group_IT_number 1
loop_
_space_group_symop_operation_xyz
'x,y,z'
loop_
_atom_site_label
_atom_site_type_symbol
_atom_site_fract_x
_atom_site_fract_y
_atom_site_fract_z
_atom_site_occupancy
Al1 Al 0.0000 0.0000 0.0000 1
Te1 Te 0.5000 0.5000 0.2471 1
Se1 Se 0.0000 0.0000 0.4606 1
Se2 Se 0.5000 0.5000 0.8374 1
```

calculated total energy = -14.02 eV/cell
E_form (uncorrected) = -0.04 eV per atom
spin magnetization = 0.00 μB/f.u.